Model A:
A plane-wave DFT calculation with GGA-PBE was carried out for a geometry-optimized Co2OsCl structure.

Structure (POSCAR):
```
Co2OsCl
1.0
-2.963 -2.986 -0.517
-1.788 -1.820 3.385
-4.042 0.835 0.968
Os Co Cl
1 2 1
direct
0.500 0.500 0.500
0.250 0.250 0.250
0.750 0.750 0.750
0.000 0.000 0.000
```

Density in g/cm³: 10.6
Magnetic moment in Bohr magnetons per cell: 3.2

=====

Model B:
A plane-wave DFT calculation with GGA-PBE was carried out for a geometry-optimized Co2OsCl structure.

Structure (POSCAR):
```
Co2OsCl
1.0
4.201 -0.006 -0.238
3.296 2.604 -0.238
0.788 0.273 6.212
Os Cl Co
1 1 2
direct
0.533 0.533 0.592
0.088 0.088 0.262
0.077 0.077 0.908
0.802 0.802 0.738
```

Density in g/cm³: 8.3
Magnetic moment in Bohr magnetons per cell: 2.1

=====

Model C:
A plane-wave DFT calculation with GGA-PBE was carried out for a geometry-optimized Co2OsCl structure.

Structure (POSCAR):
```
Co2OsCl
1.0
2.680 0.000 0.000
0.000 4.530 0.000
0.000 0.000 4.530
Cl Co Os
1 2 1
direct
0.500 0.000 0.500
0.000 0.500 0.500
0.000 0.000 0.000
0.500 0.500 0.000
```

Density in g/cm³: 10.4
Magnetic moment in Bohr magnetons per cell: 4.2

=====

Model D:
A plane-wave DFT calculation with GGA-PBE was carried out for a geometry-optimized Co2OsCl structure.

Structure (POSCAR):
```
Co2OsCl
1.0
4.169 0.000 0.000
2.084 3.610 0.000
2.084 1.203 3.404
Co Os Cl
2 1 1
direct
0.250 0.250 0.250
0.000 0.000 0.000
0.750 0.750 0.750
0.500 0.500 0.500
```

Density in g/cm³: 11.1
Magnetic moment in Bohr magnetons per cell: 1.5

=====

Which structure is most stable, and how do the rest compare? From most to least stable: model B, model C, model D, model A.

=====

Model A:
A plane-wave DFT calculation with GGA-PBE was carried out for a geometry-optimized Co2OsCl structure.

Structure (POSCAR):
```
Co2OsCl
1.0
-5.475 -0.892 -1.224
-1.066 -0.991 5.491
-4.066 3.144 2.717
Co Cl Os
4 2 2
direct
0.875 0.879 0.750
0.629 0.125 0.250
0.375 0.371 0.750
0.121 0.625 0.250
0.250 0.750 0.500
0.500 0.500 0.000
0.000 0.000 0.000
0.750 0.250 0.500
```

Density in g/cm³: 8.4
Magnetic moment in Bohr magnetons per cell: 0.0

=====

Model B:
A plane-wave DFT calculation with GGA-PBE was carried out for a geometry-optimized Co2OsCl structure.

Structure (POSCAR):
```
Co2OsCl
1.0
2.752 0.000 0.000
0.000 2.752 0.000
0.000 0.000 6.940
Cl Co Os
1 2 1
direct
0.500 0.500 0.750
0.000 0.000 0.490
0.000 0.000 0.010
0.500 0.500 0.250
```

Density in g/cm³: 10.9
Magnetic moment in Bohr magnetons per cell: 1.5

=====

Model C:
A plane-wave DFT calculation with GGA-PBE was carried out for a geometry-optimized Co2OsCl structure.

Structure (POSCAR):
```
Co2OsCl
1.0
-1.172 -0.085 -2.540
-2.681 -0.512 1.255
-1.137 6.683 0.300
Co Cl Os
2 1 1
direct
0.500 0.250 0.244
0.000 0.750 0.048
0.500 0.750 0.762
0.000 0.750 0.446
```

Density in g/cm³: 10.0
Magnetic moment in Bohr magnetons per cell: 2.4

=====

Which structure is most stable, and how do the rest compare? From most to least stable: model B, model C, model A.

=====

Model A:
A plane-wave DFT calculation with GGA-PBE was carried out for a geometry-optimized Co2OsCl structure.

Structure (POSCAR):
```
Co2OsCl
1.0
-2.575 -0.071 1.028
1.271 -2.910 2.983
1.006 3.253 2.746
Co Os Cl
2 1 1
direct
0.000 0.000 0.000
0.500 0.500 0.000
0.500 0.000 0.500
0.000 0.500 0.500
```

Density in g/cm³: 10.8
Magnetic moment in Bohr magnetons per cell: 4.2

=====

Model B:
A plane-wave DFT calculation with GGA-PBE was carried out for a geometry-optimized Co2OsCl structure.

Structure (POSCAR):
```
Co2OsCl
1.0
4.982 0.002 0.003
2.272 4.434 -0.003
-3.036 -3.185 2.337
Os Co Cl
1 2 1
direct
0.250 0.750 0.500
0.986 0.986 0.000
0.514 0.514 0.000
0.750 0.250 0.500
```

Density in g/cm³: 11.1
Magnetic moment in Bohr magnetons per cell: 3.8

=====

Which structure is most stable, and how do the rest compare? From most to least stable: model B, model A.

=====

Model A:
A plane-wave DFT calculation with GGA-PBE was carried out for a geometry-optimized CoOsCl structure.

Structure (POSCAR):
```
CoOsCl
1.0
6.792 0.012 -0.007
5.855 2.730 -0.008
0.938 -1.298 2.388
Co Os Cl
1 1 1
direct
0.335 0.335 0.665
0.679 0.679 0.321
0.986 0.986 0.014
```

Density in g/cm³: 10.7
Magnetic moment in Bohr magnetons per cell: 2.0

=====

Model B:
A plane-wave DFT calculation with GGA-PBE was carried out for a geometry-optimized CoOsCl structure.

Structure (POSCAR):
```
CoOsCl
1.0
6.070 0.043 0.000
4.715 3.824 0.000
-5.392 -1.933 2.009
Os Co Cl
1 1 1
direct
0.681 0.681 0.000
0.302 0.302 0.000
0.017 0.017 0.000
```

Density in g/cm³: 10.2
Magnetic moment in Bohr magnetons per cell: 0.0

=====

Which structure is most stable, and how do the rest compare? From most to least stable: model A, model B.